No. 1
This record from Alexandria via LeMat-Bulk describes a relaxed structure of HfBrCl. The functional is PBE.

The structure belongs to space group Cc (No. 9); the cell edges are 7.608, 7.737 and 5.666 Å and the angles 90.00°, 118.59° and 90.00°. Symmetry generates all atoms from Hf at (0.000, 0.080, 0.000), Br at (0.282, 0.139, 0.522) and Cl at (0.241, 0.366, 0.005).

The uncorrected formation energy is -0.923 eV per atom. The calculation puts the polymorph energy (0 for the lowest one) at 1.20 eV per formula unit. The energy is -5.414 eV per atom.

***

No. 2
This record from Alexandria via LeMat-Bulk describes a relaxed structure of HfBrCl. The functional is PBE.

The structure belongs to space group P1 (No. 1); the cell edges are 4.838, 4.929 and 7.213 Å and the angles 100.60°, 104.90° and 109.79°. Symmetry generates all atoms from Hf at (0.000, 0.000, 0.000), Hf at (0.292, 0.498, 0.780), Br at (0.019, 0.120, 0.397), Br at (0.249, 0.621, 0.146), Cl at (0.500, 0.104, 0.885) and Cl at (0.783, 0.599, 0.662).

The uncorrected formation energy is -0.903 eV per atom. The calculation puts the polymorph energy (0 for the lowest one) at 1.26 eV per formula unit. The energy is -5.394 eV per atom.

***

No. 3
This record from Alexandria via LeMat-Bulk describes a relaxed structure of Hf2BrCl. The functional is PBE.

The structure belongs to space group Fm-3m (No. 225); the cell edges are 6.789, 6.789 and 6.789 Å and the angles 90.00°, 90.00° and 90.00°. Symmetry generates all atoms from Hf at (0.250, 0.250, 0.250), Br at (0.000, 0.000, 0.000) and Cl at (0.000, 0.000, 0.500).

The uncorrected formation energy is 0.160 eV per atom. The calculation puts the polymorph energy (0 for the lowest one) at 0.37 eV per formula unit. The energy is -5.697 eV per atom.

***

No. 4
This record from Alexandria via LeMat-Bulk describes a relaxed structure of HfBrCl. The functional is PBE.

The structure belongs to space group R3m (No. 160, hexagonal axes); the cell edges are 3.4232, 3.4232 and 22.7645 Å and the angles 90.00°, 90.00° and 120.00°. Symmetry generates all atoms from Hf at (0.0000, 0.0000, 0.0000), Br at (0.0000, 0.0000, 0.7486) and Cl at (0.0000, 0.0000, 0.5919).

The uncorrected formation energy is -1.315 eV per atom. The calculation puts the polymorph energy (0 for the lowest one) at 0.03 eV per formula unit. The energy is -5.806 eV per atom.

***

No. 5
This record from Alexandria via LeMat-Bulk describes a relaxed structure of HfBrCl. The functional is PBE.

The structure belongs to space group P1 (No. 1); the cell edges are 4.749, 5.115 and 7.016 Å and the angles 78.92°, 89.82° and 78.58°. Symmetry generates all atoms from Hf at (0.000, 0.000, 0.000), Hf at (0.090, 0.399, 0.273), Br at (0.252, 0.832, 0.371), Br at (0.888, 0.347, 0.638), Cl at (0.495, 0.910, 0.888) and Cl at (0.622, 0.305, 0.171).

The uncorrected formation energy is -0.872 eV per atom. The calculation puts the polymorph energy (0 for the lowest one) at 1.36 eV per formula unit. The energy is -5.363 eV per atom.

***

No. 6
This record from Alexandria via LeMat-Bulk describes a relaxed structure of HfBrCl. The functional is PBE.

The structure belongs to space group Pm (No. 6); the cell edges are 5.742, 3.346 and 8.572 Å and the angles 90.00°, 95.35° and 90.00°. Symmetry generates all atoms from Hf at (0.000, 0.000, 0.000), Hf at (0.362, 0.500, 0.188), Br at (0.482, 0.000, 0.952), Br at (0.956, 0.500, 0.753), Cl at (0.408, 0.000, 0.414) and Cl at (0.876, 0.500, 0.216).

The uncorrected formation energy is -1.194 eV per atom. The calculation puts the polymorph energy (0 for the lowest one) at 0.39 eV per formula unit. The energy is -5.685 eV per atom.

***

No. 7
This record from Alexandria via LeMat-Bulk describes a relaxed structure of HfBrCl2. The functional is PBE.

The structure belongs to space group R-3m (No. 166, hexagonal axes); the cell edges are 3.2552, 3.2552 and 33.6478 Å and the angles 90.00°, 90.00° and 120.00°. Symmetry generates all atoms from Hf at (0.0000, 0.0000, 0.0000), Br at (0.0000, 0.0000, 0.5000) and Cl at (0.0000, 0.0000, 0.3866).

The uncorrected formation energy is -0.964 eV per atom. The calculation puts the polymorph energy (0 for the lowest one) at 0.89 eV per formula unit. The energy is -4.794 eV per atom.

***

No. 8
This record from Alexandria via LeMat-Bulk describes a relaxed structure of HfBr3Cl. The functional is PBE.

The structure belongs to space group Pm-3m (No. 221); the cell edges are 5.218, 5.218 and 5.218 Å and the angles 90.00°, 90.00° and 90.00°. Symmetry generates all atoms from Hf at (0.000, 0.000, 0.000), Br at (0.000, 0.000, 0.500) and Cl at (0.500, 0.500, 0.500).

The uncorrected formation energy is -0.822 eV per atom. The calculation puts the polymorph energy (0 for the lowest one) at 3.04 eV per formula unit. The energy is -4.186 eV per atom.

***

No. 9
This record from Alexandria via LeMat-Bulk describes a relaxed structure of HfBrCl. The functional is PBE.

The structure belongs to space group Cm (No. 8); the cell edges are 6.024, 3.478 and 7.919 Å and the angles 90.00°, 90.88° and 90.00°. Symmetry generates all atoms from Hf at (0.000, 0.000, 0.000), Br at (0.162, 0.500, 0.755) and Cl at (0.005, 0.000, 0.289).

The uncorrected formation energy is -1.046 eV per atom. The calculation puts the polymorph energy (0 for the lowest one) at 0.84 eV per formula unit. The energy is -5.537 eV per atom.

***

No. 10
This record from Alexandria via LeMat-Bulk describes a relaxed structure of HfBrCl2. The functional is PBE.

The structure belongs to space group Fm-3m (No. 225); the cell edges are 6.811, 6.811 and 6.811 Å and the angles 90.00°, 90.00° and 90.00°. Symmetry generates all atoms from Hf at (0.000, 0.000, 0.000), Br at (0.000, 0.000, 0.500) and Cl at (0.250, 0.250, 0.250).

The uncorrected formation energy is -0.408 eV per atom. The calculation puts the polymorph energy (0 for the lowest one) at 3.12 eV per formula unit. The energy is -4.238 eV per atom.

***

No. 11
This record from Alexandria via LeMat-Bulk describes a relaxed structure of HfBrCl. The functional is PBE.

The structure belongs to space group P2_1/m (No. 11); the cell edges are 6.234, 3.362 and 7.913 Å and the angles 90.00°, 99.37° and 90.00°. Symmetry generates all atoms from Hf at (0.200, 0.250, 0.007), Br at (0.134, 0.750, 0.267) and Cl at (0.389, 0.750, 0.817).

The uncorrected formation energy is -1.310 eV per atom. The calculation puts the polymorph energy (0 for the lowest one) at 0.04 eV per formula unit. The energy is -5.801 eV per atom.

***

No. 12
This record from Alexandria via LeMat-Bulk describes a relaxed structure of HfBr3Cl. The functional is PBE.

The structure belongs to space group Pmn2_1 (No. 31); the cell edges are 7.474, 7.406 and 6.305 Å and the angles 90.00°, 90.00° and 90.00°. Symmetry generates all atoms from Hf at (0.000, 0.003, 0.000), Br at (0.000, 0.291, 0.211), Br at (0.248, 0.843, 0.250) and Cl at (0.000, 0.738, 0.795).

The uncorrected formation energy is -1.415 eV per atom. The calculation puts the polymorph energy (0 for the lowest one) at 0.07 eV per formula unit. The energy is -4.779 eV per atom.

***

No. 13
This record from Alexandria via LeMat-Bulk describes a relaxed structure of HfBr3Cl. The functional is PBE.

The structure belongs to space group Pm-3m (No. 221); the cell edges are 5.355, 5.355 and 5.355 Å and the angles 90.00°, 90.00° and 90.00°. Symmetry generates all atoms from Hf at (0.000, 0.000, 0.000), Br at (0.000, 0.500, 0.500) and Cl at (0.500, 0.500, 0.500).

The uncorrected formation energy is 0.866 eV per atom. The calculation puts the polymorph energy (0 for the lowest one) at 11.48 eV per formula unit. The energy is -2.498 eV per atom.

***

No. 14
This record from Alexandria via LeMat-Bulk describes a relaxed structure of HfBrCl. The functional is PBE.

The structure belongs to space group P1 (No. 1); the cell edges are 3.337, 6.557 and 8.280 Å and the angles 86.81°, 79.56° and 90.00°. Symmetry generates all atoms from Hf at (0.000, 0.000, 0.000), Hf at (0.426, 0.653, 0.164), Br at (0.383, 0.051, 0.259), Br at (0.811, 0.580, 0.420), Cl at (0.606, 0.065, 0.765) and Cl at (0.999, 0.433, 0.001).

The uncorrected formation energy is -1.205 eV per atom. The calculation puts the polymorph energy (0 for the lowest one) at 0.36 eV per formula unit. The energy is -5.696 eV per atom.

***

No. 15
This record from Alexandria via LeMat-Bulk describes a relaxed structure of HfBrCl. The functional is PBE.

The structure belongs to space group Pm (No. 6); the cell edges are 5.906, 3.423 and 7.878 Å and the angles 90.00°, 102.79° and 90.00°. Symmetry generates all atoms from Hf at (0.000, 0.000, 0.000), Hf at (0.500, 0.500, 0.001), Br at (0.407, 0.000, 0.247), Br at (0.761, 0.500, 0.754), Cl at (0.268, 0.000, 0.782) and Cl at (0.898, 0.500, 0.219).

The uncorrected formation energy is -1.324 eV per atom. The calculation puts the polymorph energy (0 for the lowest one) at 0.00 eV per formula unit. The energy is -5.815 eV per atom.

***

No. 16
This record from Alexandria via LeMat-Bulk describes a relaxed structure of Hf2BrCl. The functional is PBE.

The structure belongs to space group I-42d (No. 122); the cell edges are 7.475, 7.475 and 6.232 Å and the angles 90.00°, 90.00° and 90.00°. Symmetry generates all atoms from Hf at (0.191, 0.750, 0.125), Br at (0.000, 0.000, 0.500) and Cl at (0.000, 0.000, 0.000).

The uncorrected formation energy is 0.068 eV per atom. The calculation puts the polymorph energy (0 for the lowest one) at 0.00 eV per formula unit. The energy is -5.789 eV per atom.

***

No. 17
This record from Alexandria via LeMat-Bulk describes a relaxed structure of HfBrCl. The functional is PBE.

The structure belongs to space group Cm (No. 8); the cell edges are 5.928, 3.423 and 8.230 Å and the angles 90.00°, 110.15° and 90.00°. Symmetry generates all atoms from Hf at (0.000, 0.000, 0.000), Br at (0.449, 0.000, 0.241) and Cl at (0.228, 0.000, 0.780).

The uncorrected formation energy is -1.315 eV per atom. The calculation puts the polymorph energy (0 for the lowest one) at 0.03 eV per formula unit. The energy is -5.806 eV per atom.

***

No. 18
This record from Alexandria via LeMat-Bulk describes a relaxed structure of HfBrCl. The functional is PBE.

The structure belongs to space group Cm (No. 8); the cell edges are 15.564, 3.358 and 6.294 Å and the angles 90.00°, 101.20° and 90.00°. Symmetry generates all atoms from Hf at (0.000, 0.000, 0.000), Hf at (0.007, 0.500, 0.394), Br at (0.108, 0.500, 0.820), Br at (0.140, 0.000, 0.339), Cl at (0.377, 0.000, 0.055) and Cl at (0.410, 0.500, 0.577).

The uncorrected formation energy is -1.295 eV per atom. The calculation puts the polymorph energy (0 for the lowest one) at 0.09 eV per formula unit. The energy is -5.786 eV per atom.

***

No. 19
This record from Alexandria via LeMat-Bulk describes a relaxed structure of HfBrCl. The functional is PBE.

The structure belongs to space group P1 (No. 1); the cell edges are 3.354, 3.354 and 7.855 Å and the angles 88.47°, 88.09° and 60.00°. Symmetry generates all atoms from Hf at (0.000, 0.000, 0.000), Br at (0.318, 0.326, 0.248) and Cl at (0.681, 0.674, 0.772).

The uncorrected formation energy is -1.188 eV per atom. The calculation puts the polymorph energy (0 for the lowest one) at 0.41 eV per formula unit. The energy is -5.679 eV per atom.

***

No. 20
This record from Alexandria via LeMat-Bulk describes a relaxed structure of HfBr3Cl. The functional is PBE.

The structure belongs to space group Ima2 (No. 46); the cell edges are 9.643, 9.915 and 7.691 Å and the angles 90.00°, 90.00° and 90.00°. Symmetry generates all atoms from Hf at (0.250, 0.250, 0.000), Br at (0.011, 0.750, 0.000), Br at (0.250, 0.058, 0.250) and Cl at (0.250, 0.082, 0.750).

The uncorrected formation energy is -1.430 eV per atom. The calculation puts the polymorph energy (0 for the lowest one) at 0.00 eV per formula unit. The energy is -4.793 eV per atom.

***

No. 21
This record from Alexandria via LeMat-Bulk describes a relaxed structure of HfBrCl. The functional is PBE.

The structure belongs to space group Cm (No. 8); the cell edges are 15.329, 3.423 and 5.907 Å and the angles 90.00°, 95.03° and 90.00°. Symmetry generates all atoms from Hf at (0.000, 0.000, 0.000), Hf at (0.000, 0.500, 0.500), Br at (0.124, 0.000, 0.362), Br at (0.376, 0.000, 0.806), Cl at (0.110, 0.500, 0.858) and Cl at (0.390, 0.500, 0.308).

The uncorrected formation energy is -1.324 eV per atom. The calculation puts the polymorph energy (0 for the lowest one) at 0.00 eV per formula unit. The energy is -5.815 eV per atom.

***

No. 22
This record from Alexandria via LeMat-Bulk describes a relaxed structure of HfIBr2Cl. The functional is PBE.

The structure belongs to space group P4/mmm (No. 123); the cell edges are 5.213, 5.213 and 5.621 Å and the angles 90.00°, 90.00° and 90.00°. Symmetry generates all atoms from Hf at (0.000, 0.000, 0.000), I at (0.000, 0.000, 0.500), Br at (0.000, 0.500, 0.000) and Cl at (0.500, 0.500, 0.500).

The uncorrected formation energy is -0.710 eV per atom. The energy is -4.049 eV per atom.

***

No. 23
This record from Alexandria via LeMat-Bulk describes a relaxed structure of HfIn2Br2Cl4. The functional is PBE.

The structure belongs to space group C2/m (No. 12); the cell edges are 12.790, 7.173 and 7.646 Å and the angles 90.00°, 122.26° and 90.00°. Symmetry generates all atoms from Hf at (0.000, 0.000, 0.000), In at (0.248, 0.500, 0.224), Br at (0.232, 0.000, 0.315) and Cl at (0.052, 0.241, 0.830).

The uncorrected formation energy is -1.322 eV per atom. The energy is -4.229 eV per atom.

***

No. 24
This record from Alexandria via LeMat-Bulk describes a relaxed structure of HfIn3Br2Cl6. The functional is PBE.

The structure belongs to space group C2/m (No. 12); the cell edges are 15.662, 8.152 and 6.273 Å and the angles 90.00°, 90.78° and 90.00°. Symmetry generates all atoms from Hf at (0.000, 0.000, 0.000), In at (0.000, 0.500, 0.500), In at (0.250, 0.250, 0.000), Br at (0.156, 0.500, 0.297), Cl at (0.067, 0.214, 0.778) and Cl at (0.128, 0.000, 0.231).

The uncorrected formation energy is -1.190 eV per atom. The energy is -3.906 eV per atom.

***

No. 25
This record from Alexandria via LeMat-Bulk describes a relaxed structure of LiHfBr2Cl. The functional is PBE.

The structure belongs to space group P4/mmm (No. 123); the cell edges are 5.354, 5.354 and 4.934 Å and the angles 90.00°, 90.00° and 90.00°. Symmetry generates all atoms from Li at (0.000, 0.000, 0.000), Hf at (0.500, 0.500, 0.500), Br at (0.000, 0.500, 0.500) and Cl at (0.500, 0.500, 0.000).

The uncorrected formation energy is -0.806 eV per atom. The energy is -4.218 eV per atom.

***

No. 26
This record from Alexandria via LeMat-Bulk describes a relaxed structure of HfMnBrCl2. The functional is PBE.

The structure belongs to space group P4/mmm (No. 123); the cell edges are 4.531, 4.531 and 5.350 Å and the angles 90.00°, 90.00° and 90.00°. Symmetry generates all atoms from Hf at (0.000, 0.000, 0.000), Mn at (0.000, 0.000, 0.500), Br at (0.500, 0.500, 0.000) and Cl at (0.000, 0.500, 0.500).

The uncorrected formation energy is -0.165 eV per atom. The energy is -5.063 eV per atom.